ScMoBr3 | GGA-PBE | relaxed

abc: 5.2962 5.2962 5.2962
angles: 90.00 90.00 90.00
Site moments in Bohr magnetons follow the coordinates.
Element x y z (fractional)
Br  0.0000  0.0000  0.5000  0.05
Br  0.5000  0.0000  0.0000  0.04
Br  0.0000  0.5000  0.0000  0.02
Sc  0.5000  0.5000  0.5000  1.15
Mo  0.0000  0.0000  0.0000  2.94

Calculated values
Energy relative to the elements, uncorrected = 21.9 kJ/mol of atoms
Energy above the lowest structure with this stoichiometry = 332.8 meV/atom
V = 29.71 Å³/atom
N(E_F) = 1.7103 states/eV per atom